[1]
The following is a DFT calculation (GGA+U) of an optimized crystal structure of CoAsPb2F. Values from VASP.

Output
Electronic total energy = -3.6948 eV per atom
Total magnetization = 1.4 μB/f.u.

```
&SYSTEM
  ibrav = 0, nat = 5, ntyp = 4
/
ATOMIC_SPECIES
Pb 207.20 Pb.upf
F 19.00 F.upf
As 74.92 As.upf
Co 58.93 Co.upf
ATOMIC_POSITIONS angstrom
Pb 2.504 -0.784 1.194
F 0.893 -3.636 2.702
As 0.000 0.000 0.000
Co -0.212 -1.979 -0.856
Pb -1.400 -0.873 2.364
CELL_PARAMETERS angstrom
-2.801 -1.746 4.729
-0.423 -3.957 -1.712
5.009 -1.568 2.388
```


[2]
The following is a DFT calculation (GGA+U) of an optimized crystal structure of RbCoAsF6. Values from VASP.

Output
Electronic total energy = -4.6966 eV per atom
Total magnetization = 3.0 μB/f.u.

```
&SYSTEM
  ibrav = 0, nat = 9, ntyp = 4
/
ATOMIC_SPECIES
F 19.00 F.upf
As 74.92 As.upf
Co 58.93 Co.upf
Rb 85.47 Rb.upf
ATOMIC_POSITIONS angstrom
F -0.663 -0.174 6.233
F -3.056 -1.822 6.955
F -2.622 0.695 8.468
F -0.128 1.046 3.608
As -0.576 -0.784 4.257
F -2.447 -0.244 4.421
F -2.541 2.163 6.297
Co -2.691 0.090 6.541
Rb 0.038 -0.039 0.060
CELL_PARAMETERS angstrom
-1.509 3.571 3.967
-4.727 -1.033 2.793
2.942 -3.198 3.958
```


Question: What is the total magnetization in the second record?
Answer: 3.0 μB/f.u.


Question: The lowest electronic total energy belongs to which entry?
Answer: RbCoAsF6


Question: Which formula does entry 1 have?
Answer: CoAsPb2F